Arrangement i

# PBEsol AlCoHg2, optimized geometry
# volume	16.2	Å³/atom
# total magnetic moment	0.00	μB/f.u.
# density of states at the Fermi level	2.182	states/eV/f.u.
data_AlCoHg2
_symmetry_space_group_name_H-M 'I 4/m m m'
_symmetry_Int_Tables_number 139
_symmetry_space_group_name_Hall '-I 4 2'
_cell_length_a 3.9724
_cell_length_b 3.9724
_cell_length_c 8.1906
_cell_angle_alpha 90.00
_cell_angle_beta 90.00
_cell_angle_gamma 90.00
loop_
_atom_site_label
_atom_site_type_symbol
_atom_site_fract_x
_atom_site_fract_y
_atom_site_fract_z
Al1 Al 0.0000 0.0000 0.0000
Co1 Co 0.0000 0.0000 0.5000
Hg1 Hg 0.0000 0.5000 0.2500

***

Arrangement ii

# PBEsol AlCoHg2, optimized geometry
# volume	20.9	Å³/atom
# total magnetic moment	0.00	μB/f.u.
# density of states at the Fermi level	2.550	states/eV/f.u.
data_AlCoHg2
_symmetry_space_group_name_H-M 'I -4 2 d'
_symmetry_Int_Tables_number 122
_symmetry_space_group_name_Hall 'I -4 2bw'
_cell_length_a 8.4980
_cell_length_b 8.4980
_cell_length_c 4.6218
_cell_angle_alpha 90.00
_cell_angle_beta 90.00
_cell_angle_gamma 90.00
loop_
_atom_site_label
_atom_site_type_symbol
_atom_site_fract_x
_atom_site_fract_y
_atom_site_fract_z
Al1 Al 0.0000 0.0000 0.0000
Co1 Co 0.0000 0.0000 0.5000
Hg1 Hg 0.1402 0.7500 0.6250

***

What are the relative energies? In eV/atom: arrangement i 0.000; arrangement ii 0.170.